A relaxed structure of Pm2PaP3Rh4, computed with GGA-PBE.

Calculated values
ΔE_f	-1.034	eV/atom
V	183.05	Å³ per cell

a = 4.072 Å, b = 4.072 Å, c = 11.042 Å
α = 90.00°, β = 90.00°, γ = 90.00°
Fractional positions:
Pm 0.000 0.500 0.218
Pm 0.500 0.000 0.782
Pa 0.000 0.000 0.500
P 0.000 0.500 0.873
P 0.500 0.000 0.127
P 0.500 0.500 0.500
Rh 0.000 0.000 0.000
Rh 0.000 0.500 0.659
Rh 0.500 0.000 0.341
Rh 0.500 0.500 0.000